# LiCoPO4

A geometry-optimized LiCoPO4 structure (PBE with a Hubbard U, the Alexandria database).

Summary:
Space group = No. 82
Calculated total energy = -46.44 eV/cell

a b c (Å): 5.0567 5.0567 5.0567
angles (deg): 122.91 122.91 85.03
Element x y z (fractional)
Li: 0.0000 0.0000 0.0000
Co: 0.5000 0.5000 0.0000
P: 0.2500 0.7500 0.5000
O: 0.1844 0.6780 0.1251
O: 0.3220 0.4471 0.5064
O: 0.5529 0.0592 0.8749
O: 0.9408 0.8156 0.4936